# SrZr2Sc | Alexandria | GGA-PBEsol | relaxed
data_SrZr2Sc
_chemical_formula_sum 'Sr1 Zr2 Sc1'
_cell_length_a 3.190
_cell_length_b 5.141
_cell_length_c 6.825
_cell_angle_alpha 90.00
_cell_angle_beta 101.79
_cell_angle_gamma 90.00
_symmetry_space_group_name_H-M 'P 1 2/m 1'
_symmetry_Int_Tables_number 10
loop_
_symmetry_equiv_pos_as_xyz
'x,y,z'
'-x,-y,-z'
'-x,y,-z'
'x,-y,z'
loop_
_atom_site_label
_atom_site_fract_x
_atom_site_fract_y
_atom_site_fract_z
Sr1 0.000 0.000 0.000
Zr1 0.283 0.500 0.687
Sc1 0.500 0.000 0.500
# N(E_F) = 1.3964 states/eV per atom
# Energy relative to the lowest polymorph listed for this composition = 127 meV/atom
# Calculated volume = 27.4 Å³ per atom
# DFT total energy = -0.46140 Ry per atom
# E_form = 0.379 eV/atom